Here is a relaxed SmBe2Pd5 crystal from Alexandria via LeMat-Bulk. Energies are from GGA-PBE.

Computed properties:
space group: Immm, No. 71
energy: -5.3978 eV per atom
DOS at the Fermi energy: 0.109 states/eV per atom
formation enthalpy at 0 K: -0.63 eV/atom
spin magnetization: 0.0 Bohr magnetons per cell

Structure (POSCAR):
```
SmBe2Pd5
1.0
-1.958 3.217 4.942
1.958 -3.217 4.942
1.958 3.217 -4.942
Sm Be Pd
1 2 5
Direct
0.000 0.000 0.000 Sm
0.276 0.776 0.500 Be
0.724 0.224 0.500 Be
0.140 0.351 0.790 Pd
0.439 0.649 0.790 Pd
0.500 0.000 0.500 Pd
0.561 0.351 0.210 Pd
0.860 0.649 0.210 Pd
```